# ZrNb2SnIr

A relaxed ZrNb2SnIr crystal (PBEsol, Alexandria via LeMat-Bulk).

Structure (CIF):
```
data_ZrNb2SnIr
_space_group_name_H-M_alt 'P 1'
_space_group_IT_number 1
_cell_length_a 4.872
_cell_length_b 4.872
_cell_length_c 4.873
_cell_angle_alpha 90.00
_cell_angle_beta 90.00
_cell_angle_gamma 90.00
loop_
_space_group_symop_operation_xyz
'x,y,z'
loop_
_atom_site_label
_atom_site_type_symbol
_atom_site_fract_x
_atom_site_fract_y
_atom_site_fract_z
Sn1 Sn 0.000 0.000 0.500
Nb1 Nb 0.500 0.000 0.000
Zr1 Zr 0.500 0.500 0.500
Ir1 Ir 0.000 0.000 0.000
Nb2 Nb 0.000 0.500 0.000
```

Output
ΔH_f (0 K)	0.78	eV/atom
total magnetization	0.0	μB per cell
VASP energy	-8.186	eV per atom

=====

# SrNb2Ir2

A relaxed SrNb2Ir2 crystal (PBEsol, Alexandria via LeMat-Bulk).

Structure (CIF):
```
data_SrNb2Ir2
_space_group_name_H-M_alt 'P 1'
_space_group_IT_number 1
_cell_length_a 4.475
_cell_length_b 4.475
_cell_length_c 6.096
_cell_angle_alpha 111.53
_cell_angle_beta 111.53
_cell_angle_gamma 90.00
loop_
_space_group_symop_operation_xyz
'x,y,z'
loop_
_atom_site_label
_atom_site_type_symbol
_atom_site_fract_x
_atom_site_fract_y
_atom_site_fract_z
Sr1 Sr 0.000 0.000 0.000
Ir1 Ir 0.373 0.373 0.747
Ir2 Ir 0.627 0.627 0.253
Nb1 Nb 0.750 0.250 0.500
Nb2 Nb 0.250 0.750 0.500
```

Output
ΔH_f (0 K)	-0.35	eV/atom
total magnetization	0.0	μB per cell
VASP energy	-8.973	eV per atom

=====

# Ta2NbIr

A relaxed Ta2NbIr crystal (PBEsol, Alexandria via LeMat-Bulk).

Structure (CIF):
```
data_Ta2NbIr
_space_group_name_H-M_alt 'P 1'
_space_group_IT_number 1
_cell_length_a 4.526
_cell_length_b 4.526
_cell_length_c 4.526
_cell_angle_alpha 60.00
_cell_angle_beta 60.00
_cell_angle_gamma 60.00
loop_
_space_group_symop_operation_xyz
'x,y,z'
loop_
_atom_site_label
_atom_site_type_symbol
_atom_site_fract_x
_atom_site_fract_y
_atom_site_fract_z
Ir1 Ir 0.500 0.500 0.500
Ta1 Ta 0.750 0.750 0.750
Nb1 Nb 0.000 0.000 0.000
Ta2 Ta 0.250 0.250 0.250
```

Output
ΔH_f (0 K)	-0.40	eV/atom
total magnetization	0.0	μB per cell
VASP energy	-11.832	eV per atom

=====

# NbTcIr3

A relaxed NbTcIr3 crystal (PBEsol, Alexandria via LeMat-Bulk).

Structure (CIF):
```
data_NbTcIr3
_space_group_name_H-M_alt 'P 1'
_space_group_IT_number 1
_cell_length_a 4.673
_cell_length_b 4.673
_cell_length_c 4.673
_cell_angle_alpha 90.00
_cell_angle_beta 90.00
_cell_angle_gamma 90.00
loop_
_space_group_symop_operation_xyz
'x,y,z'
loop_
_atom_site_label
_atom_site_type_symbol
_atom_site_fract_x
_atom_site_fract_y
_atom_site_fract_z
Nb1 Nb 0.000 0.000 0.000
Ir1 Ir 0.000 0.000 0.500
Ir2 Ir 0.000 0.500 0.000
Ir3 Ir 0.500 0.000 0.000
Tc1 Tc 0.500 0.500 0.500
```

Output
ΔH_f (0 K)	2.09	eV/atom
total magnetization	4.2	μB per cell
VASP energy	-8.222	eV per atom

=====

# NbTc3Ir

A relaxed NbTc3Ir crystal (PBEsol, Alexandria via LeMat-Bulk).

Structure (CIF):
```
data_NbTc3Ir
_space_group_name_H-M_alt 'P 1'
_space_group_IT_number 1
_cell_length_a 4.547
_cell_length_b 4.547
_cell_length_c 4.547
_cell_angle_alpha 90.00
_cell_angle_beta 90.00
_cell_angle_gamma 90.00
loop_
_space_group_symop_operation_xyz
'x,y,z'
loop_
_atom_site_label
_atom_site_type_symbol
_atom_site_fract_x
_atom_site_fract_y
_atom_site_fract_z
Ir1 Ir 0.500 0.500 0.500
Tc1 Tc 0.000 0.500 0.000
Tc2 Tc 0.500 0.000 0.000
Tc3 Tc 0.000 0.000 0.500
Nb1 Nb 0.000 0.000 0.000
```

Output
ΔH_f (0 K)	2.18	eV/atom
total magnetization	0.0	μB per cell
VASP energy	-8.706	eV per atom

=====

# Nb3TeIr

A relaxed Nb3TeIr crystal (PBEsol, Alexandria via LeMat-Bulk).

Structure (CIF):
```
data_Nb3TeIr
_space_group_name_H-M_alt 'P 1'
_space_group_IT_number 1
_cell_length_a 4.859
_cell_length_b 4.859
_cell_length_c 4.859
_cell_angle_alpha 90.00
_cell_angle_beta 90.00
_cell_angle_gamma 90.00
loop_
_space_group_symop_operation_xyz
'x,y,z'
loop_
_atom_site_label
_atom_site_type_symbol
_atom_site_fract_x
_atom_site_fract_y
_atom_site_fract_z
Nb1 Nb 0.000 0.500 0.000
Ir1 Ir 0.500 0.500 0.500
Te1 Te 0.000 0.000 0.000
Nb2 Nb 0.000 0.000 0.500
Nb3 Nb 0.500 0.000 0.000
```

Output
E_form (uncorrected)	1852.0	meV per atom
total magnetization	0.0	μB per cell
VASP energy	-7.311	eV per atom

=====

# ZrNbIr2

A relaxed ZrNbIr2 crystal (PBEsol, Alexandria via LeMat-Bulk).

Structure (CIF):
```
data_ZrNbIr2
_space_group_name_H-M_alt 'P 1'
_space_group_IT_number 1
_cell_length_a 4.560
_cell_length_b 4.560
_cell_length_c 4.560
_cell_angle_alpha 60.00
_cell_angle_beta 60.00
_cell_angle_gamma 60.00
loop_
_space_group_symop_operation_xyz
'x,y,z'
loop_
_atom_site_label
_atom_site_type_symbol
_atom_site_fract_x
_atom_site_fract_y
_atom_site_fract_z
Nb1 Nb 0.500 0.500 0.500
Zr1 Zr 0.000 0.000 0.000
Ir1 Ir 0.750 0.750 0.750
Ir2 Ir 0.250 0.250 0.250
```

Output
ΔH_f (0 K)	-0.44	eV/atom
total magnetization	0.0	μB per cell
VASP energy	-10.326	eV per atom

=====

# NdIr3

A relaxed NdIr3 crystal (PBEsol, Alexandria via LeMat-Bulk).

Structure (CIF):
```
data_NdIr3
_space_group_name_H-M_alt 'P 1'
_space_group_IT_number 1
_cell_length_a 5.315
_cell_length_b 5.315
_cell_length_c 9.265
_cell_angle_alpha 73.33
_cell_angle_beta 73.33
_cell_angle_gamma 60.00
loop_
_space_group_symop_operation_xyz
'x,y,z'
loop_
_atom_site_label
_atom_site_type_symbol
_atom_site_fract_x
_atom_site_fract_y
_atom_site_fract_z
Nd1 Nd 0.000 0.000 0.000
Ir1 Ir 0.579 0.084 0.757
Ir2 Ir 0.421 0.916 0.243
Ir3 Ir 0.332 0.332 0.003
Ir4 Ir 0.668 0.668 0.997
Ir5 Ir 0.579 0.579 0.757
Nd2 Nd 0.140 0.140 0.580
Ir6 Ir 0.500 0.500 0.500
Ir7 Ir 0.084 0.579 0.757
Ir8 Ir 0.916 0.421 0.243
Ir9 Ir 0.421 0.421 0.243
Nd3 Nd 0.860 0.860 0.420
```

Output
ΔH_f (0 K)	-0.48	eV/atom
total magnetization	0.0	μB per cell
VASP energy	-9.143	eV per atom

=====

# Nd5Ir2

A relaxed Nd5Ir2 crystal (PBEsol, Alexandria via LeMat-Bulk).

Structure (CIF):
```
data_Nd5Ir2
_space_group_name_H-M_alt 'P 1'
_space_group_IT_number 1
_cell_length_a 6.577
_cell_length_b 7.233
_cell_length_c 8.822
_cell_angle_alpha 96.36
_cell_angle_beta 111.89
_cell_angle_gamma 90.00
loop_
_space_group_symop_operation_xyz
'x,y,z'
loop_
_atom_site_label
_atom_site_type_symbol
_atom_site_fract_x
_atom_site_fract_y
_atom_site_fract_z
Nd1 Nd 0.790 0.815 0.438
Ir1 Ir 0.818 0.075 0.223
Nd2 Nd 0.352 0.685 0.562
Nd3 Nd 0.020 0.579 0.816
Nd4 Nd 0.210 0.185 0.562
Ir2 Ir 0.182 0.925 0.777
Nd5 Nd 0.796 0.079 0.816
Nd6 Nd 0.648 0.315 0.438
Nd7 Nd 0.429 0.250 0.000
Nd8 Nd 0.980 0.421 0.184
Ir3 Ir 0.596 0.425 0.777
Ir4 Ir 0.404 0.575 0.223
Nd9 Nd 0.204 0.921 0.184
Nd10 Nd 0.571 0.750 0.000
```

Output
ΔH_f (0 K)	-0.47	eV/atom
total magnetization	0.0	μB per cell
VASP energy	-6.968	eV per atom

=====

# Nd5Ir3

A relaxed Nd5Ir3 crystal (PBEsol, Alexandria via LeMat-Bulk).

Structure (CIF):
```
data_Nd5Ir3
_space_group_name_H-M_alt 'P 1'
_space_group_IT_number 1
_cell_length_a 6.426
_cell_length_b 11.109
_cell_length_c 11.109
_cell_angle_alpha 90.00
_cell_angle_beta 90.00
_cell_angle_gamma 90.00
loop_
_space_group_symop_operation_xyz
'x,y,z'
loop_
_atom_site_label
_atom_site_type_symbol
_atom_site_fract_x
_atom_site_fract_y
_atom_site_fract_z
Nd1 Nd 0.878 0.410 0.209
Ir1 Ir 0.250 0.154 0.846
Ir2 Ir 0.250 0.846 0.154
Nd2 Nd 0.500 0.000 0.000
Nd3 Nd 0.378 0.709 0.910
Ir3 Ir 0.750 0.654 0.346
Ir4 Ir 0.250 0.346 0.346
Nd4 Nd 0.122 0.090 0.291
Ir5 Ir 0.750 0.846 0.846
Nd5 Nd 0.378 0.590 0.209
Nd6 Nd 0.000 0.000 0.000
Nd7 Nd 0.378 0.410 0.791
Ir6 Ir 0.882 0.000 0.500
Nd8 Nd 0.622 0.090 0.709
Nd9 Nd 0.122 0.209 0.590
Nd10 Nd 0.622 0.209 0.410
Nd11 Nd 0.878 0.291 0.910
Nd12 Nd 0.878 0.590 0.791
Nd13 Nd 0.122 0.910 0.709
Ir7 Ir 0.118 0.500 0.000
Ir8 Ir 0.382 0.000 0.500
Ir9 Ir 0.750 0.154 0.154
Nd14 Nd 0.500 0.500 0.500
Nd15 Nd 0.000 0.500 0.500
Ir10 Ir 0.750 0.346 0.654
Nd16 Nd 0.622 0.910 0.291
Nd17 Nd 0.878 0.709 0.090
Nd18 Nd 0.122 0.791 0.410
Ir11 Ir 0.250 0.654 0.654
Ir12 Ir 0.618 0.500 0.000
Nd19 Nd 0.378 0.291 0.090
Nd20 Nd 0.622 0.791 0.590
```

Output
ΔH_f (0 K)	-0.57	eV/atom
total magnetization	0.0	μB per cell
VASP energy	-7.486	eV per atom

=====

# Nd2NiIr

A relaxed Nd2NiIr crystal (PBEsol, Alexandria via LeMat-Bulk).

Structure (CIF):
```
data_Nd2NiIr
_space_group_name_H-M_alt 'P 1'
_space_group_IT_number 1
_cell_length_a 4.904
_cell_length_b 4.904
_cell_length_c 4.904
_cell_angle_alpha 60.00
_cell_angle_beta 60.00
_cell_angle_gamma 60.00
loop_
_space_group_symop_operation_xyz
'x,y,z'
loop_
_atom_site_label
_atom_site_type_symbol
_atom_site_fract_x
_atom_site_fract_y
_atom_site_fract_z
Ni1 Ni 0.500 0.500 0.500
Ir1 Ir 0.000 0.000 0.000
Nd1 Nd 0.250 0.250 0.250
Nd2 Nd 0.750 0.750 0.750
```

Output
ΔH_f (0 K)	-0.39	eV/atom
total magnetization	0.0	μB per cell
VASP energy	-6.969	eV per atom

=====

# Nd3IrO7

A relaxed Nd3IrO7 crystal (PBEsol, Alexandria via LeMat-Bulk).

Structure (CIF):
```
data_Nd3IrO7
_space_group_name_H-M_alt 'P 1'
_space_group_IT_number 1
_cell_length_a 6.574
_cell_length_b 6.574
_cell_length_c 7.491
_cell_angle_alpha 90.00
_cell_angle_beta 90.00
_cell_angle_gamma 111.72
loop_
_space_group_symop_operation_xyz
'x,y,z'
loop_
_atom_site_label
_atom_site_type_symbol
_atom_site_fract_x
_atom_site_fract_y
_atom_site_fract_z
Ir1 Ir 0.500 0.500 0.000
Nd1 Nd 0.085 0.529 0.750
O1 O 0.589 0.589 0.250
Nd2 Nd 0.915 0.471 0.250
Nd3 Nd 0.471 0.915 0.250
O2 O 0.186 0.439 0.040
Ir2 Ir 0.500 0.500 0.500
O3 O 0.186 0.439 0.460
Nd4 Nd 0.000 0.000 0.000
O4 O 0.814 0.561 0.960
O5 O 0.158 0.896 0.750
O6 O 0.842 0.104 0.250
Nd5 Nd 0.000 0.000 0.500
O7 O 0.104 0.842 0.250
O8 O 0.439 0.186 0.460
Nd6 Nd 0.529 0.085 0.750
O9 O 0.561 0.814 0.960
O10 O 0.561 0.814 0.540
O11 O 0.896 0.158 0.750
O12 O 0.439 0.186 0.040
O13 O 0.814 0.561 0.540
O14 O 0.411 0.411 0.750
```

Output
E_form (uncorrected)	-2579.9	meV per atom
total magnetization	3.9	μB per cell
VASP energy	-8.223	eV per atom

=====

Please write out number 1 again, unchanged.
# ZrNb2SnIr

A relaxed ZrNb2SnIr crystal (PBEsol, Alexandria via LeMat-Bulk).

Structure (CIF):
```
data_ZrNb2SnIr
_space_group_name_H-M_alt 'P 1'
_space_group_IT_number 1
_cell_length_a 4.872
_cell_length_b 4.872
_cell_length_c 4.873
_cell_angle_alpha 90.00
_cell_angle_beta 90.00
_cell_angle_gamma 90.00
loop_
_space_group_symop_operation_xyz
'x,y,z'
loop_
_atom_site_label
_atom_site_type_symbol
_atom_site_fract_x
_atom_site_fract_y
_atom_site_fract_z
Sn1 Sn 0.000 0.000 0.500
Nb1 Nb 0.500 0.000 0.000
Zr1 Zr 0.500 0.500 0.500
Ir1 Ir 0.000 0.000 0.000
Nb2 Nb 0.000 0.500 0.000
```

Output
ΔH_f (0 K)	0.78	eV/atom
total magnetization	0.0	μB per cell
VASP energy	-8.186	eV per atom